Computed, not measured: a relaxed structure of CsLi2Bi2 at the PBE level of DFT.

Results
- V (Å³/cell) = 322.74
- density of states at the Fermi level (states/eV/atom) = 0.749
- ΔE_f (eV/atom) = -0.3391

Cell: 6.205 7.145 8.681 Å, 80.95 69.10 63.86°
Sites, in units of the cell vectors:
Li  0.520  0.250  0.959
Li  0.271  0.750  0.459
Li  0.729  0.250  0.541
Bi  0.575  0.352  0.249
Cs  0.125  0.250  0.750
Li  0.479  0.750  0.041
Bi  0.425  0.648  0.751
Bi  0.175  0.148  0.249
Bi  0.825  0.852  0.751
Cs  0.875  0.750  0.250